Arrangement A

DFT (PBE) results for crystalline Ca3PbCl at its relaxed geometry.

CIF file:
```
data_Ca3PbCl
_chemical_formula_sum 'Ca3 Pb1 Cl1'
_space_group_name_H-M_alt 'P 1'
_space_group_IT_number 1
_space_group_name_Hall 'P 1'
_cell_length_a 6.044
_cell_length_b 6.044
_cell_length_c 6.044
_cell_angle_alpha 90.00
_cell_angle_beta 90.00
_cell_angle_gamma 90.00
loop_
_atom_site_label
_atom_site_type_symbol
_atom_site_fract_x
_atom_site_fract_y
_atom_site_fract_z
Ca1 Ca 0.000 0.000 0.500
Ca2 Ca 0.000 0.500 0.000
Ca3 Ca 0.500 0.000 0.000
Pb1 Pb 0.000 0.000 0.000
Cl1 Cl 0.500 0.500 0.500
```

=====

Arrangement B

DFT (PBE) results for crystalline Ca3PbCl at its relaxed geometry.

CIF file:
```
data_Ca3PbCl
_chemical_formula_sum 'Ca3 Pb1 Cl1'
_space_group_name_H-M_alt 'P 1'
_space_group_IT_number 1
_space_group_name_Hall 'P 1'
_cell_length_a 5.318
_cell_length_b 5.318
_cell_length_c 5.318
_cell_angle_alpha 90.00
_cell_angle_beta 90.00
_cell_angle_gamma 90.00
loop_
_atom_site_label
_atom_site_type_symbol
_atom_site_fract_x
_atom_site_fract_y
_atom_site_fract_z
Ca1 Ca 0.000 0.000 0.500
Ca2 Ca 0.000 0.500 0.000
Ca3 Ca 0.500 0.000 0.000
Pb1 Pb 0.500 0.500 0.500
Cl1 Cl 0.000 0.000 0.000
```

=====

Stability, lowest: arrangement A

=====

Arrangement A

DFT (PBE) results for crystalline CaPb2Cl at its relaxed geometry.

CIF file:
```
data_CaPb2Cl
_chemical_formula_sum 'Ca1 Pb2 Cl1'
_space_group_name_H-M_alt 'P 1'
_space_group_IT_number 1
_space_group_name_Hall 'P 1'
_cell_length_a 8.333
_cell_length_b 8.333
_cell_length_c 8.333
_cell_angle_alpha 155.56
_cell_angle_beta 149.13
_cell_angle_gamma 39.77
loop_
_atom_site_label
_atom_site_type_symbol
_atom_site_fract_x
_atom_site_fract_y
_atom_site_fract_z
Ca1 Ca 0.000 0.000 0.000
Pb1 Pb 0.196 0.696 0.500
Pb2 Pb 0.804 0.304 0.500
Cl1 Cl 0.500 0.500 0.000
```

=====

Arrangement B

DFT (PBE) results for crystalline CaPb2Cl at its relaxed geometry.

CIF file:
```
data_CaPb2Cl
_chemical_formula_sum 'Ca1 Pb2 Cl1'
_space_group_name_H-M_alt 'P 1'
_space_group_IT_number 1
_space_group_name_Hall 'P 1'
_cell_length_a 3.702
_cell_length_b 3.675
_cell_length_c 9.282
_cell_angle_alpha 90.00
_cell_angle_beta 90.12
_cell_angle_gamma 90.00
loop_
_atom_site_label
_atom_site_type_symbol
_atom_site_fract_x
_atom_site_fract_y
_atom_site_fract_z
Ca1 Ca 0.000 0.000 0.000
Pb1 Pb 0.500 0.500 0.746
Pb2 Pb 0.999 0.000 0.529
Cl1 Cl 0.501 0.500 0.140
```

=====

Stability, lowest: arrangement A